1.
11
Lattice="5.339 1.622 2.341 0.925 8.340 1.987 0.925 -1.068 8.507" Properties=species:S:1:pos:R:3 comment="Tb7Pm2Er2 (PBE-GGA, relaxed)" dos_ef_per_ev_atom=1.566 space_group="C2/m, No. 12" delta_e_f_mev_per_atom=152.3 dft_energy_ev_per_atom=-4.488 polymorph_energy_mev_per_atom=11 magnetic_moment_mub_per_cell=0.00 pbc="T T T"
Er 3.595 1.796 8.255
Tb 0.000 0.000 0.000
Tb 1.538 5.136 2.085
Tb 2.738 3.615 5.216
Er 3.595 7.098 4.581
Tb 5.651 8.745 7.294
Pm 6.062 7.010 10.116
Tb 1.538 0.149 5.542
Tb 5.651 3.758 10.750
Tb 4.451 5.280 7.619
Pm 1.128 1.884 2.719

2.
12
Lattice="4.883 -0.003 0.013 0.002 4.883 0.013 2.413 2.410 12.573" Properties=species:S:1:pos:R:3 comment="K2SrCu2Cl7 (PBE-GGA, relaxed)" formation_energy_uncorrected_mev_per_atom=-1432 dos_ef_per_ev_atom=0.466 space_group="I4/mmm, No. 139" dft_energy_ev_per_atom=-3.515 magnetic_moment_mub_per_cell=0.12 pbc="T T T"
Cl 2.421 4.858 10.399
Cl 2.428 2.425 4.883
Cl 2.437 4.875 2.201
Cu 2.435 2.432 2.487
K 2.427 2.424 8.016
Cl 4.861 2.415 10.399
K 4.872 4.866 4.584
Cl 2.443 2.440 0.013
Cu 4.863 4.858 10.112
Cl 4.870 4.864 7.717
Sr 0.000 0.000 0.000
Cl 4.877 2.431 2.201

3.
5
Lattice="5.401 0.000 0.000 0.000 5.401 0.000 0.000 0.000 4.512" Properties=species:S:1:pos:R:3 comment="TlAuBr2F (PBE-GGA, relaxed)" formation_energy_uncorrected_mev_per_atom=-670 dos_ef_per_ev_atom=0.243 space_group="P4/mmm, No. 123" dft_energy_ev_per_atom=-2.842 magnetic_moment_mub_per_cell=0.00 pbc="T T T"
Br 0.000 2.701 0.000
Tl 2.701 2.701 2.256
Au 0.000 0.000 0.000
F 0.000 0.000 2.256
Br 2.701 0.000 0.000

4.
4
Lattice="3.298 0.000 0.000 0.000 3.298 0.000 0.000 0.000 6.521" Properties=species:S:1:pos:R:3 comment="HfZrReRh (PBE-GGA, relaxed)" dos_ef_per_ev_atom=0.299 space_group="P4mm, No. 99" delta_e_f_mev_per_atom=-653.0 dft_energy_ev_per_atom=-10.228 polymorph_energy_mev_per_atom=0 magnetic_moment_mub_per_cell=0.00 pbc="T T T"
Zr 1.649 1.649 3.928
Re 0.000 0.000 2.312
Hf 1.649 1.649 0.718
Rh 0.000 0.000 5.615

5.
12
Lattice="-4.378 0.293 -3.436 2.382 -6.484 -3.593 -3.994 -1.703 9.463" Properties=species:S:1:pos:R:3 comment="La4GaBi (PBE-GGA, relaxed)" dos_ef_per_ev_atom=0.591 space_group="C2/m, No. 12" delta_e_f_mev_per_atom=-432.7 dft_energy_ev_per_atom=-4.869 magnetic_moment_mub_per_cell=0.00 pbc="T T T"
La -3.211 -3.066 -2.951
La -5.402 -0.817 0.031
La -2.779 -4.829 5.385
Ga -4.186 -0.705 3.013
La 0.169 -6.454 -3.030
La -6.158 -1.440 5.464
Ga -0.806 -4.094 2.935
La -0.587 -7.077 2.403
La -2.019 -4.206 -0.045
Bi -4.492 -3.251 7.706
Bi -1.497 -4.643 -5.272
La -3.970 -3.689 2.479

6.
4
Lattice="4.879 -0.002 0.001 3.925 2.897 0.001 0.681 0.224 7.773" Properties=species:S:1:pos:R:3 comment="KTa2Sb (PBE-GGA, relaxed)" formation_energy_uncorrected_mev_per_atom=530 dos_ef_per_ev_atom=0.909 space_group="Cm, No. 8" dft_energy_ev_per_atom=-6.701 magnetic_moment_mub_per_cell=0.00 pbc="T T T"
Sb 7.068 2.324 6.461
Ta 8.796 2.893 0.122
Ta 2.487 0.818 1.201
K 4.683 1.540 3.884

7.
10
Lattice="5.167 0.000 -1.252 -1.055 10.393 -4.355 -0.998 -3.428 7.173" Properties=species:S:1:pos:R:3 comment="TbEr4Sc5 (PBE-GGA, relaxed)" dos_ef_per_ev_atom=2.020 space_group="C2/m, No. 12" delta_e_f_mev_per_atom=258.3 dft_energy_ev_per_atom=-5.196 polymorph_energy_mev_per_atom=0 magnetic_moment_mub_per_cell=0.00 pbc="T T T"
Er 2.051 8.182 -2.823
Er 1.063 -1.217 4.388
Sc 1.059 1.768 4.369
Er -0.010 3.060 -0.042
Sc 0.392 0.046 1.617
Sc 3.378 0.686 2.653
Tb 0.531 6.965 2.191
Er 3.125 3.905 1.608
Sc -0.264 6.279 -1.088
Sc 2.723 6.919 -0.052

8.
4
Lattice="-5.747 -0.492 -5.445 -7.715 -1.425 -1.169 6.622 3.311 2.848" Properties=species:S:1:pos:R:3 comment="Si2RhSe (PBE-GGA, relaxed)" formation_energy_uncorrected_mev_per_atom=7 dos_ef_per_ev_atom=0.388 space_group="Imm2, No. 44" dft_energy_ev_per_atom=-5.413 magnetic_moment_mub_per_cell=0.00 pbc="T T T"
Rh -7.287 -1.037 -3.580
Se -4.109 0.436 -0.911
Si -1.980 1.065 -2.486
Si -0.196 -0.028 -0.096

9.
10
Lattice="-1.687 -1.044 3.019 0.868 -6.538 -1.774 8.206 1.447 5.086" Properties=species:S:1:pos:R:3 comment="Tb3HgH (PBE-GGA, relaxed)" dos_ef_per_ev_atom=0.823 space_group="P2_1/m, No. 11" dft_energy_ev_per_atom=-3.812 polymorph_energy_mev_per_atom=61 magnetic_moment_mub_per_cell=0.00 pbc="T T T"
Tb 6.401 -0.933 6.497
Tb 2.244 -4.196 3.046
Hg 1.270 -1.928 1.124
Tb 0.986 -5.202 -0.166
H 3.137 -5.209 1.034
Tb 5.534 -5.328 2.332
H 4.250 -0.926 5.297
Hg 6.118 -4.206 5.207
Tb 1.853 -0.807 3.999
Tb 5.143 -1.939 3.285

10.
9
Lattice="3.575 0.000 0.000 0.000 7.709 0.696 -1.788 -2.416 6.159" Properties=species:S:1:pos:R:3 comment="TiTl2Ni2S4 (PBE-GGA, relaxed)" formation_energy_uncorrected_mev_per_atom=-656 dos_ef_per_ev_atom=0.766 space_group="C2/m, No. 12" dft_energy_ev_per_atom=-5.178 magnetic_moment_mub_per_cell=0.00 pbc="T T T"
Ni 1.788 6.746 2.836
Tl 0.000 3.662 2.085
Tl 1.788 1.631 4.770
S 1.788 5.001 4.372
Ni 0.000 -1.454 4.019
Ti 0.000 0.000 0.000
S 0.000 -0.661 6.103
S 0.000 0.292 2.483
S 1.788 5.954 0.752

11.
10
Lattice="6.426 0.000 0.000 0.000 6.426 0.000 3.213 3.213 4.060" Properties=species:S:1:pos:R:3 comment="Rb2CuReF6 (PBE-GGA, relaxed)" formation_energy_uncorrected_mev_per_atom=-1911 dos_ef_per_ev_atom=3.945 space_group="I4/mmm, No. 139" dft_energy_ev_per_atom=-4.882 magnetic_moment_mub_per_cell=2.00 pbc="T T T"
F 1.453 4.973 0.000
F 4.973 1.453 0.000
Rb 3.213 6.426 2.030
Re 0.000 0.000 0.000
F 6.426 6.426 2.113
Rb 6.426 3.213 2.030
F 3.213 3.213 1.947
F 1.453 1.453 0.000
F 4.973 4.973 0.000
Cu 3.213 3.213 0.000

12.
6
Lattice="4.150 -0.504 2.789 4.392 2.189 1.083 -0.262 3.358 5.264" Properties=species:S:1:pos:R:3 comment="Si5W (PBE-GGA, relaxed)" formation_energy_uncorrected_mev_per_atom=240 dos_ef_per_ev_atom=0.286 space_group="Cm, No. 8" dft_energy_ev_per_atom=-6.439 polymorph_energy_mev_per_atom=14 magnetic_moment_mub_per_cell=0.00 pbc="T T T"
Si 2.488 1.640 2.941
Si 5.614 3.414 6.184
Si 3.303 3.132 5.413
Si 0.198 1.327 2.124
W 6.227 1.377 3.057
Si 0.108 0.037 0.074

13.
4
Lattice="-1.503 -2.773 0.447 0.450 -0.739 -3.066 5.313 -2.651 1.419" Properties=species:S:1:pos:R:3 comment="Al2PdAu (PBE-GGA, relaxed)" dos_ef_per_ev_atom=0.321 space_group="P4/mmm, No. 123" delta_e_f_mev_per_atom=-577.2 dft_energy_ev_per_atom=-4.566 magnetic_moment_mub_per_cell=0.00 pbc="T T T"
Al 1.258 -0.628 0.336
Al 4.055 -2.023 1.083
Pd -0.526 -1.756 -1.309
Au 2.130 -3.081 -0.600

14.
5
Lattice="-2.777 -4.199 -3.953 -0.500 -4.196 4.808 -5.746 2.395 1.493" Properties=species:S:1:pos:R:3 comment="RbS3I (PBE-GGA, relaxed)" formation_energy_uncorrected_mev_per_atom=1137 dos_ef_per_ev_atom=0.744 space_group="Pm-3m, No. 221" dft_energy_ev_per_atom=-1.843 polymorph_energy_mev_per_atom=1555 magnetic_moment_mub_per_cell=6.00 pbc="T T T"
I -4.511 -3.001 1.174
S -0.250 -2.098 2.404
S -1.389 -2.100 -1.977
Rb 0.000 0.000 0.000
S -2.873 1.197 0.746

15.
16
Lattice="-4.153 1.759 5.132 -1.420 -6.357 5.577 8.498 4.836 9.769" Properties=species:S:1:pos:R:3 comment="Cs2InSiTe4 (PBE-GGA, relaxed)" formation_energy_uncorrected_mev_per_atom=-546 dos_ef_per_ev_atom=0.595 space_group="Fddd, No. 70" dft_energy_ev_per_atom=-3.351 magnetic_moment_mub_per_cell=0.00 pbc="T T T"
Cs -3.430 -0.883 8.897
In 0.000 0.000 0.000
Te 6.285 3.466 10.931
Cs 4.279 2.001 14.147
Si -2.077 0.879 2.566
Te 2.110 0.228 6.388
Te 0.623 0.091 14.327
Te -1.686 0.330 5.134
Te 2.726 0.706 17.672
Te 0.479 -1.772 9.881
Cs 4.644 3.394 7.143
Si 2.501 -0.321 8.956
Te 2.637 1.929 10.359
In 0.424 0.559 11.522
Cs -0.299 3.201 7.757
Te -1.475 -4.026 7.218

16.
10
Lattice="-0.012 -7.925 -1.045 4.521 -0.869 6.535 -1.495 -4.728 5.295" Properties=species:S:1:pos:R:3 comment="Rb2TiAuCl6 (PBE-GGA, relaxed)" formation_energy_uncorrected_mev_per_atom=-1372 dos_ef_per_ev_atom=1.169 space_group="I4/mmm, No. 139" dft_energy_ev_per_atom=-3.791 magnetic_moment_mub_per_cell=1.00 pbc="T T T"
Cl 1.279 -5.916 1.113
Au 0.000 0.000 0.000
Cl 1.284 -2.504 1.563
Cl 0.342 -4.566 4.046
Ti 2.255 -4.397 2.745
Rb 2.641 -4.997 7.288
Rb 0.374 -8.525 3.497
Cl 3.226 -6.290 3.927
Cl 2.673 -8.956 6.739
Cl 3.231 -2.878 4.377

17.
4
Lattice="-3.664 0.444 2.951 -4.219 1.337 -1.656 -3.561 -3.101 -0.171" Properties=species:S:1:pos:R:3 comment="Na2CuOs (PBE-GGA, relaxed)" dos_ef_per_ev_atom=1.750 space_group="Fm-3m, No. 225" delta_e_f_mev_per_atom=1344.9 dft_energy_ev_per_atom=-3.146 polymorph_energy_mev_per_atom=115 magnetic_moment_mub_per_cell=2.03 pbc="T T T"
Cu 0.000 0.000 0.000
Os -5.722 -0.660 0.562
Na -2.861 -0.330 0.281
Na -8.583 -0.990 0.843

18.
4
Lattice="-2.140 0.242 -2.483 1.243 -0.608 -2.982 -2.144 -7.362 -2.000" Properties=species:S:1:pos:R:3 comment="Hf2HPb (PBE-GGA, relaxed)" dos_ef_per_ev_atom=0.555 space_group="Cm, No. 8" dft_energy_ev_per_atom=-6.907 polymorph_energy_mev_per_atom=0 magnetic_moment_mub_per_cell=0.00 pbc="T T T"
H -2.542 -7.061 -5.211
Hf -1.845 -6.313 -1.755
Hf -0.720 -1.525 -2.288
Pb -1.600 -4.054 -3.944

19.
12
Lattice="-4.145 -4.823 0.308 3.659 -2.868 4.349 -3.156 3.008 4.639" Properties=species:S:1:pos:R:3 comment="GeTePd (PBE-GGA, relaxed)" formation_energy_uncorrected_mev_per_atom=-315 dos_ef_per_ev_atom=0.237 space_group="P2_13, No. 198" dft_energy_ev_per_atom=-4.632 magnetic_moment_mub_per_cell=0.00 pbc="T T T"
Te -0.985 0.208 6.816
Pd -3.747 -4.766 4.794
Ge -2.637 -4.965 2.480
Ge -3.906 0.470 4.721
Ge 1.520 -1.963 5.621
Pd -0.049 -0.062 0.124
Te -5.129 -2.684 3.736
Pd -3.461 -0.903 6.852
Te -1.355 -1.743 3.460
Pd -0.027 -3.632 6.822
Ge -2.260 -2.906 5.770
Te 0.187 -5.144 4.579

20.
8
Lattice="-5.016 -1.026 4.020 3.302 -0.678 -5.568 3.791 -6.585 3.050" Properties=species:S:1:pos:R:3 comment="Zr2AlSi (PBE-GGA, relaxed)" formation_energy_uncorrected_mev_per_atom=-359 dos_ef_per_ev_atom=0.605 space_group="Cmcm, No. 63" dft_energy_ev_per_atom=-6.924 polymorph_energy_mev_per_atom=376 magnetic_moment_mub_per_cell=0.00 pbc="T T T"
Zr 0.334 -1.161 -1.752
Si 3.904 -2.339 -4.407
Si -1.827 -5.950 5.909
Zr 1.744 -7.128 3.254
Al -1.800 -2.577 2.168
Zr 0.251 -4.536 2.053
Zr 1.826 -3.753 -0.551
Al 3.877 -5.712 -0.666